Here is a relaxed structure of LaBeAl from Alexandria. Energies are from PBE.

DFT formation energy = -0.14 eV per atom
DOS at the Fermi energy = 0.695 states/eV per atom
V = 19.77 Å³ per atom
Space-group type = No. 12
Calculated total energy = -4.268 eV/atom

Lattice parameters (Å, degrees): 5.4930 5.4930 5.4965 119.94 119.94 61.47
Last column: nearest neighbours and their distance in Å.
Sites, in units of the cell vectors:
1 La 0.1193 0.1193 0.3710  6 Be 3.17-3.25, 6 Al 3.23-3.26, 4 La 3.29-3.45
2 La 0.8807 0.8807 0.6290  6 Be 3.17-3.25, 6 Al 3.23-3.26, 4 La 3.29-3.45
3 Be 0.0000 0.5000 0.0000  4 Al 2.75, 2 Be 2.81
4 Be 0.5000 0.0000 0.0000  4 Al 2.75, 2 Be 2.81
5 Al 0.5000 0.5000 0.0000  4 Be 2.75, 2 Al 2.75
6 Al 0.5000 0.5000 0.5000  2 Al 2.75, 4 Be 2.75

=====

Here is a relaxed structure of CaMnFe2S from Alexandria. Energies are from PBE.

Energy relative to the elements, uncorrected = 0.6867 eV/atom
DOS at the Fermi energy = 1.267 states/eV per atom
V = 19.97 Å³ per atom
Space-group type = No. 123
Calculated total energy = -5.758 eV/atom

Lattice parameters (Å, degrees): 4.1357 4.1357 5.8371 90.00 90.00 90.00
Last column: nearest neighbours and their distance in Å.
Sites, in units of the cell vectors:
1 Ca 0.0000 0.0000 0.0000  2 Mn 2.92, 4 S 2.92
2 Mn 0.0000 0.0000 0.5000  4 Fe 2.07
3 Fe 0.0000 0.5000 0.5000  2 Mn 2.07
4 Fe 0.5000 0.0000 0.5000  2 Mn 2.07
5 S 0.5000 0.5000 0.0000  4 Ca 2.92

=====

Here is a relaxed structure of Pr2TlRh from Alexandria. Energies are from PBE.

DFT formation energy = -0.44 eV per atom
DOS at the Fermi energy = 0.566 states/eV per atom
V = 30.28 Å³ per atom
Space-group type = No. 160
Calculated total energy = -5.261 eV/atom

Lattice parameters (Å, degrees): 8.6644 8.6644 8.6644 27.35 27.35 27.35
Last column: nearest neighbours and their distance in Å.
Sites, in units of the cell vectors:
1 Pr 0.0000 0.0000 0.0000  3 Rh 2.87
2 Pr 0.2031 0.2031 0.2031  3 Rh 2.88
3 Tl 0.7684 0.7684 0.7684  6 Pr 3.47
4 Rh 0.6019 0.6019 0.6019  6 Pr 2.87-2.88

=====

Here is a relaxed structure of TmMgPaAl from Alexandria. Energies are from PBE.

DFT formation energy = 0.05 eV per atom
DOS at the Fermi energy = 1.432 states/eV per atom
V = 23.79 Å³ per atom
Space-group type = No. 216
Calculated total energy = -4.776 eV/atom

Lattice parameters (Å, degrees): 5.1248 5.1248 5.1248 60.00 60.00 60.00
Last column: nearest neighbours and their distance in Å.
Sites, in units of the cell vectors:
1 Tm 0.0000 0.0000 0.0000  4 Al 3.14, 4 Mg 3.14
2 Mg 0.2500 0.2500 0.2500  4 Pa 3.14, 4 Tm 3.14
3 Pa 0.5000 0.5000 0.5000  4 Al 3.14, 4 Mg 3.14
4 Al 0.7500 0.7500 0.7500  4 Pa 3.14, 4 Tm 3.14

=====

Here is a relaxed structure of BeRe3 from Alexandria. Energies are from PBE.

DFT formation energy = 0.26 eV per atom
DOS at the Fermi energy = 0.742 states/eV per atom
V = 14.00 Å³ per atom
Space-group type = No. 65
Calculated total energy = -10.007 eV/atom

Lattice parameters (Å, degrees): 4.6641 4.6641 2.7751 90.00 90.00 111.93
Last column: nearest neighbours and their distance in Å.
Sites, in units of the cell vectors:
1 Be 0.0000 0.0000 0.0000  10 Re 2.61-2.71, 2 Be 2.78
2 Re 0.0000 0.5000 0.5000  8 Re 2.61-2.78, 4 Be 2.71
3 Re 0.5000 0.0000 0.5000  8 Re 2.61-2.78, 4 Be 2.71
4 Re 0.5000 0.5000 0.0000  2 Be 2.61, 10 Re 2.71-2.78

=====

Here is a relaxed structure of CaLa2Nd2Mg5 from Alexandria. Energies are from PBE.

DFT formation energy = 0.00 eV per atom
DOS at the Fermi energy = 0.614 states/eV per atom
V = 30.54 Å³ per atom
Space-group type = No. 127
Calculated total energy = -2.940 eV/atom

Lattice parameters (Å, degrees): 10.8928 10.8928 5.1483 90.00 90.00 90.00
Last column: nearest neighbours and their distance in Å.
Sites, in units of the cell vectors:
1 Ca 0.0000 0.0000 0.0000  8 Mg 3.44
2 Ca 0.5000 0.5000 0.0000  8 Mg 3.44
3 La 0.1730 0.3270 0.0000  3 Nd 3.14-3.27
4 La 0.3270 0.8270 0.0000  3 Nd 3.14-3.27
5 La 0.6730 0.1730 0.0000  3 Nd 3.14-3.27
6 La 0.8270 0.6730 0.0000  3 Nd 3.14-3.27
7 Nd 0.1229 0.6229 0.0000  3 La 3.14-3.27, 6 Mg 3.20-3.28
8 Nd 0.3771 0.1229 0.0000  3 La 3.14-3.27, 6 Mg 3.20-3.28
9 Nd 0.6229 0.8771 0.0000  3 La 3.14-3.27, 6 Mg 3.20-3.28
10 Nd 0.8771 0.3771 0.0000  3 La 3.14-3.27, 6 Mg 3.20-3.28
11 Mg 0.0000 0.5000 0.5000  4 Nd 3.20, 4 Mg 3.38
12 Mg 0.0706 0.8023 0.5000  4 Mg 3.23-3.57, 2 Nd 3.28, 2 Ca 3.44
13 Mg 0.1977 0.0706 0.5000  4 Mg 3.23-3.57, 2 Nd 3.28, 2 Ca 3.44
14 Mg 0.3023 0.5706 0.5000  4 Mg 3.23-3.57, 2 Nd 3.28, 2 Ca 3.44
15 Mg 0.4294 0.3023 0.5000  4 Mg 3.23-3.57, 2 Nd 3.28, 2 Ca 3.44
16 Mg 0.5000 0.0000 0.5000  4 Nd 3.20, 4 Mg 3.38
17 Mg 0.5706 0.6977 0.5000  4 Mg 3.23-3.57, 2 Nd 3.28, 2 Ca 3.44
18 Mg 0.6977 0.4294 0.5000  4 Mg 3.23-3.57, 2 Nd 3.28, 2 Ca 3.44
19 Mg 0.8023 0.9294 0.5000  4 Mg 3.23-3.57, 2 Nd 3.28, 2 Ca 3.44
20 Mg 0.9294 0.1977 0.5000  4 Mg 3.23-3.57, 2 Nd 3.28, 2 Ca 3.44

=====

Please write out number 6 again, unchanged.
Here is a relaxed structure of CaLa2Nd2Mg5 from Alexandria. Energies are from PBE.

DFT formation energy = 0.00 eV per atom
DOS at the Fermi energy = 0.614 states/eV per atom
V = 30.54 Å³ per atom
Space-group type = No. 127
Calculated total energy = -2.940 eV/atom

Lattice parameters (Å, degrees): 10.8928 10.8928 5.1483 90.00 90.00 90.00
Last column: nearest neighbours and their distance in Å.
Sites, in units of the cell vectors:
1 Ca 0.0000 0.0000 0.0000  8 Mg 3.44
2 Ca 0.5000 0.5000 0.0000  8 Mg 3.44
3 La 0.1730 0.3270 0.0000  3 Nd 3.14-3.27
4 La 0.3270 0.8270 0.0000  3 Nd 3.14-3.27
5 La 0.6730 0.1730 0.0000  3 Nd 3.14-3.27
6 La 0.8270 0.6730 0.0000  3 Nd 3.14-3.27
7 Nd 0.1229 0.6229 0.0000  3 La 3.14-3.27, 6 Mg 3.20-3.28
8 Nd 0.3771 0.1229 0.0000  3 La 3.14-3.27, 6 Mg 3.20-3.28
9 Nd 0.6229 0.8771 0.0000  3 La 3.14-3.27, 6 Mg 3.20-3.28
10 Nd 0.8771 0.3771 0.0000  3 La 3.14-3.27, 6 Mg 3.20-3.28
11 Mg 0.0000 0.5000 0.5000  4 Nd 3.20, 4 Mg 3.38
12 Mg 0.0706 0.8023 0.5000  4 Mg 3.23-3.57, 2 Nd 3.28, 2 Ca 3.44
13 Mg 0.1977 0.0706 0.5000  4 Mg 3.23-3.57, 2 Nd 3.28, 2 Ca 3.44
14 Mg 0.3023 0.5706 0.5000  4 Mg 3.23-3.57, 2 Nd 3.28, 2 Ca 3.44
15 Mg 0.4294 0.3023 0.5000  4 Mg 3.23-3.57, 2 Nd 3.28, 2 Ca 3.44
16 Mg 0.5000 0.0000 0.5000  4 Nd 3.20, 4 Mg 3.38
17 Mg 0.5706 0.6977 0.5000  4 Mg 3.23-3.57, 2 Nd 3.28, 2 Ca 3.44
18 Mg 0.6977 0.4294 0.5000  4 Mg 3.23-3.57, 2 Nd 3.28, 2 Ca 3.44
19 Mg 0.8023 0.9294 0.5000  4 Mg 3.23-3.57, 2 Nd 3.28, 2 Ca 3.44
20 Mg 0.9294 0.1977 0.5000  4 Mg 3.23-3.57, 2 Nd 3.28, 2 Ca 3.44